Al2VO5 (PBE+U, optimized geometry); uncorrected energy = -7.568 eV per atom; mass density = 3.72 Mg/m³; energy relative to the lowest polymorph listed for this composition = 0 meV/atom; magnetization = 1.00 μB per formula unit
1.0
1.825 -4.743 0.000
1.825 4.743 0.000
0.000 0.000 9.543
Al V O
4 2 10
Cartesian
1.825 3.425 5.333
1.825 3.425 8.981
1.825 -3.425 0.562
1.825 -3.425 4.210
1.825 2.947 2.386
1.825 -2.947 7.157
1.825 4.307 1.119
1.825 4.307 3.652
1.825 2.553 7.157
1.825 1.783 0.665
1.825 1.783 4.107
1.825 -1.783 5.436
1.825 -1.783 8.878
1.825 -2.553 2.386
1.825 -4.307 5.890
1.825 -4.307 8.424